(1)
Material: CrFe4Au
Method: DFT, PBE
State: relaxed

abc: 6.779 6.779 6.779
angles: 90.00 90.00 90.00
Space group F-43m (No. 216)
Unique sites:
Cr 0.000 0.000 0.000 x4
Fe 0.125 0.125 0.625 x16
Au 0.250 0.250 0.250 x4

As for the crystal system: cubic. The formation energy comes out at 0.11 eV per atom. The calculation puts the calculated total energy at -7.6859 eV/atom.

***

(2)
Material: CeSnBr
Method: DFT, PBE
State: relaxed

abc: 5.1138 5.1138 3.7543
angles: 90.00 90.00 120.00
Space group P-6m2 (No. 187)
Unique sites:
Ce 0.0000 0.0000 0.0000 x1
Sn 0.6667 0.3333 0.5000 x1
Br 0.3333 0.6667 0.0000 x1

As for the crystal system: hexagonal. The calculation puts the calculated total energy at -4.5169 eV/atom. For the formation energy (no corrections), the calculation gives -1.94 eV/f.u.

***

(3)
Material: Cs2VBBr6
Method: DFT, PBE
State: relaxed

abc: 10.731 10.731 10.731
angles: 90.00 90.00 90.00
Space group Fm-3m (No. 225)
Unique sites:
Cs 0.250 0.250 0.250 x8
V 0.000 0.000 0.000 x4
B 0.000 0.000 0.500 x4
Br 0.000 0.000 0.241 x24

As for the crystal system: cubic. The calculation puts the calculated total energy at -3.4908 eV/atom. For the formation energy (no corrections), the calculation gives -7.37 eV/f.u.

***

> Among the records above, which one has the highest calculated total energy?

Cs2VBBr6

***

> Among the records above, which one has the lowest calculated total energy?

CrFe4Au

***

> The highest calculated total energy belongs to which entry?

Cs2VBBr6

***

> Which value of calculated total energy does entry 2 give?

-4.5169 eV/atom